# 1
# Li2CeSn, single point on PBEsol structure, DFT SCAN
# Total magnetic moment ... 5.5 μB/cell
# Raw total energy ... -21.754 eV per atom
# ΔE_f ... -10.09 kcal/mol of atoms
# DOS at the Fermi energy ... 1.288 states/eV/atom
data_Li2CeSn
_chemical_formula_sum 'Li8 Ce4 Sn4'
_space_group_name_H-M_alt 'F m -3 m'
_space_group_IT_number 225
_space_group_name_Hall '-F 4 2 3'
_cell_length_a 6.817
_cell_length_b 6.817
_cell_length_c 6.817
_cell_angle_alpha 90.00
_cell_angle_beta 90.00
_cell_angle_gamma 90.00
loop_
_atom_site_label
_atom_site_type_symbol
_atom_site_fract_x
_atom_site_fract_y
_atom_site_fract_z
Li1 Li 0.250 0.250 0.250
Ce1 Ce 0.000 0.000 0.000
Sn1 Sn 0.000 0.000 0.500

=====

# 2
# CdFe2Au, single point on PBEsol structure, DFT SCAN
# Total magnetic moment ... 11.3 μB/cell
# Raw total energy ... -33.838 eV per atom
# ΔE_f ... 2.77 kcal/mol of atoms
# DOS at the Fermi energy ... 0.698 states/eV/atom
data_CdFe2Au
_chemical_formula_sum 'Cd2 Fe4 Au2'
_space_group_name_H-M_alt 'I m m 2'
_space_group_IT_number 44
_space_group_name_Hall 'I 2 -2'
_cell_length_a 2.952
_cell_length_b 4.520
_cell_length_c 8.828
_cell_angle_alpha 90.00
_cell_angle_beta 90.00
_cell_angle_gamma 90.00
loop_
_atom_site_label
_atom_site_type_symbol
_atom_site_fract_x
_atom_site_fract_y
_atom_site_fract_z
Cd1 Cd 0.000 0.000 0.000
Fe1 Fe 0.000 0.000 0.470
Fe2 Fe 0.000 0.500 0.767
Au1 Au 0.000 0.500 0.224

=====

# 3
# Y2TaCoH, single point on PBEsol structure, DFT SCAN
# Total magnetic moment ... 1.1 μB/cell
# Raw total energy ... -27.488 eV per atom
# DOS at the Fermi energy ... 0.734 states/eV/atom
data_Y2TaCoH
_chemical_formula_sum 'Y2 Ta1 Co1 H1'
_space_group_name_H-M_alt 'P 4/m m m'
_space_group_IT_number 123
_space_group_name_Hall '-P 4 2'
_cell_length_a 5.486
_cell_length_b 5.486
_cell_length_c 4.253
_cell_angle_alpha 90.00
_cell_angle_beta 90.00
_cell_angle_gamma 90.00
loop_
_atom_site_label
_atom_site_type_symbol
_atom_site_fract_x
_atom_site_fract_y
_atom_site_fract_z
Y1 Y 0.000 0.500 0.000
Ta1 Ta 0.000 0.000 0.000
Co1 Co 0.000 0.000 0.500
H1 H 0.500 0.500 0.500

=====

# 4
# BaReAg2, single point on PBEsol structure, DFT SCAN
# Total magnetic moment ... 0.0 μB/cell
# Raw total energy ... -42.481 eV per atom
# ΔE_f ... 19.95 kcal/mol of atoms
# DOS at the Fermi energy ... 0.675 states/eV/atom
data_BaReAg2
_chemical_formula_sum 'Ba1 Re1 Ag2'
_space_group_name_H-M_alt 'P 4 m m'
_space_group_IT_number 99
_space_group_name_Hall 'P 4 -2'
_cell_length_a 2.941
_cell_length_b 2.941
_cell_length_c 9.290
_cell_angle_alpha 90.00
_cell_angle_beta 90.00
_cell_angle_gamma 90.00
loop_
_atom_site_label
_atom_site_type_symbol
_atom_site_fract_x
_atom_site_fract_y
_atom_site_fract_z
Ba1 Ba 0.000 0.000 0.000
Re1 Re 0.500 0.500 0.289
Ag1 Ag 0.000 0.000 0.492
Ag2 Ag 0.500 0.500 0.701

=====

# 5
# Mg3TiF, single point on PBEsol structure, DFT SCAN
# Total magnetic moment ... 3.0 μB/cell
# Raw total energy ... -6.173 eV per atom
# Energy relative to the elements, uncorrected ... 0.73 eV per atom
# DOS at the Fermi energy ... 1.580 states/eV/atom
data_Mg3TiF
_chemical_formula_sum 'Mg3 Ti1 F1'
_space_group_name_H-M_alt 'P m -3 m'
_space_group_IT_number 221
_space_group_name_Hall '-P 4 2 3'
_cell_length_a 5.500
_cell_length_b 5.500
_cell_length_c 5.500
_cell_angle_alpha 90.00
_cell_angle_beta 90.00
_cell_angle_gamma 90.00
loop_
_atom_site_label
_atom_site_type_symbol
_atom_site_fract_x
_atom_site_fract_y
_atom_site_fract_z
Mg1 Mg 0.000 0.000 0.500
Ti1 Ti 0.000 0.000 0.000
F1 F 0.500 0.500 0.500

=====

# 6
# CaBiSbN2, single point on PBEsol structure, DFT SCAN
# Total magnetic moment ... 1.7 μB/cell
# Raw total energy ... -27.621 eV per atom
# Energy relative to the elements, uncorrected ... 1.20 eV per atom
# DOS at the Fermi energy ... 0.712 states/eV/atom
data_CaBiSbN2
_chemical_formula_sum 'Ca1 Bi1 Sb1 N2'
_space_group_name_H-M_alt 'P 4/m m m'
_space_group_IT_number 123
_space_group_name_Hall '-P 4 2'
_cell_length_a 4.268
_cell_length_b 4.268
_cell_length_c 6.019
_cell_angle_alpha 90.00
_cell_angle_beta 90.00
_cell_angle_gamma 90.00
loop_
_atom_site_label
_atom_site_type_symbol
_atom_site_fract_x
_atom_site_fract_y
_atom_site_fract_z
Ca1 Ca 0.000 0.000 0.000
Bi1 Bi 0.500 0.500 0.000
Sb1 Sb 0.000 0.000 0.500
N1 N 0.000 0.500 0.500

=====

# 7
# LiFeCoO4, single point on PBEsol structure, DFT SCAN
# Total magnetic moment ... 8.0 μB/cell
# Raw total energy ... -10.700 eV per atom
# Energy relative to the elements, uncorrected ... -1.74 eV per atom
# DOS at the Fermi energy ... 0.043 states/eV/atom
data_LiFeCoO4
_chemical_formula_sum 'Li4 Fe4 Co4 O16'
_space_group_name_H-M_alt 'I m m a'
_space_group_IT_number 74
_space_group_name_Hall '-I 2b 2'
_cell_length_a 5.547
_cell_length_b 5.658
_cell_length_c 8.005
_cell_angle_alpha 90.00
_cell_angle_beta 90.00
_cell_angle_gamma 90.00
loop_
_atom_site_label
_atom_site_type_symbol
_atom_site_fract_x
_atom_site_fract_y
_atom_site_fract_z
Li1 Li 0.000 0.250 0.125
Fe1 Fe 0.250 0.250 0.750
Co1 Co 0.000 0.000 0.500
O1 O 0.000 0.025 0.735
O2 O 0.224 0.250 0.517

=====

# 8
# SrCaSb2, single point on PBEsol structure, DFT SCAN
# Total magnetic moment ... 0.0 μB/cell
# Raw total energy ... -27.508 eV per atom
# Energy relative to the elements, uncorrected ... -0.89 eV per atom
# DOS at the Fermi energy ... 0.348 states/eV/atom
data_SrCaSb2
_chemical_formula_sum 'Sr2 Ca2 Sb4'
_space_group_name_H-M_alt 'C m m m'
_space_group_IT_number 65
_space_group_name_Hall '-C 2 2'
_cell_length_a 7.226
_cell_length_b 8.639
_cell_length_c 3.781
_cell_angle_alpha 90.00
_cell_angle_beta 90.00
_cell_angle_gamma 90.00
loop_
_atom_site_label
_atom_site_type_symbol
_atom_site_fract_x
_atom_site_fract_y
_atom_site_fract_z
Sr1 Sr 0.000 0.000 0.000
Ca1 Ca 0.000 0.500 0.000
Sb1 Sb 0.250 0.250 0.500

=====

# 9
# Ca2InCu, single point on PBEsol structure, DFT SCAN
# Total magnetic moment ... 0.0 μB/cell
# Raw total energy ... -17.276 eV per atom
# ΔE_f ... -6.88 kcal/mol of atoms
# DOS at the Fermi energy ... 0.634 states/eV/atom
data_Ca2InCu
_chemical_formula_sum 'Ca2 In1 Cu1'
_space_group_name_H-M_alt 'P 4/m m m'
_space_group_IT_number 123
_space_group_name_Hall '-P 4 2'
_cell_length_a 3.547
_cell_length_b 3.547
_cell_length_c 7.725
_cell_angle_alpha 90.00
_cell_angle_beta 90.00
_cell_angle_gamma 90.00
loop_
_atom_site_label
_atom_site_type_symbol
_atom_site_fract_x
_atom_site_fract_y
_atom_site_fract_z
Ca1 Ca 0.000 0.000 0.224
In1 In 0.500 0.500 0.500
Cu1 Cu 0.500 0.500 0.000

=====

# 10
# YCoIN2, single point on PBEsol structure, DFT SCAN
# Total magnetic moment ... 2.8 μB/cell
# Raw total energy ... -19.496 eV per atom
# Energy relative to the elements, uncorrected ... 0.60 eV per atom
# DOS at the Fermi energy ... 0.402 states/eV/atom
data_YCoIN2
_chemical_formula_sum 'Y1 Co1 I1 N2'
_space_group_name_H-M_alt 'P 4/m m m'
_space_group_IT_number 123
_space_group_name_Hall '-P 4 2'
_cell_length_a 4.008
_cell_length_b 4.008
_cell_length_c 4.798
_cell_angle_alpha 90.00
_cell_angle_beta 90.00
_cell_angle_gamma 90.00
loop_
_atom_site_label
_atom_site_type_symbol
_atom_site_fract_x
_atom_site_fract_y
_atom_site_fract_z
Y1 Y 0.000 0.000 0.000
Co1 Co 0.500 0.500 0.500
I1 I 0.500 0.500 0.000
N1 N 0.000 0.500 0.500